PBE BiIrCl2, relaxed; final energy = -3.85 eV per atom; total magnetic moment = 0.000 μB/f.u.; raw formation energy = 25 kJ per mole of atoms; N(E_F) = 7.13 states/eV per cell; energy above the lowest structure with this stoichiometry = 0.009 eV per atom
1.0
8.835 0.000 0.000
0.000 8.835 0.000
4.418 4.418 2.699
Ir Bi Cl
2 2 4
Direct
0.500 0.500 0.000
0.250 0.750 0.500
0.000 0.000 0.000
0.750 0.250 0.500
0.482 0.125 0.250
0.268 0.625 0.250
0.375 0.518 0.750
0.875 0.732 0.750